[1]
An optimized crystal structure of NaAgSb, computed with PBE.

Computed properties:
Energy above the lowest structure with this stoichiometry ... 0.00 eV/f.u.
Raw formation energy ... -0.243 eV per atom
Fermi-level density of states ... 1.0 states/eV per cell
SG ... P-6m2 (187)

abc: 3.554 4.856 4.856
angles: 120.00 90.00 90.00
Fractional positions:
Sb: 0.166 0.000 0.000
Ag: 0.167 0.333 0.667
Na: 0.667 0.667 0.333

***

[2]
An optimized crystal structure of Nb4Te9I4O, computed with PBE.

Computed properties:
Raw formation energy ... -0.571 eV per atom
Fermi-level density of states ... 1.7 states/eV per cell
SG ... C2/c (15)

abc: 6.311 12.051 18.390
angles: 86.78 80.12 74.82
Fractional positions:
Nb: 0.999 0.232 0.649
Nb: 0.880 0.268 0.851
Nb: 0.120 0.732 0.149
Nb: 0.777 0.082 0.763
Nb: 0.378 0.582 0.263
Nb: 0.223 0.918 0.237
Nb: 0.622 0.418 0.737
Nb: 0.001 0.768 0.351
Te: 0.057 0.021 0.870
Te: 0.381 0.877 0.078
Te: 0.524 0.565 0.103
Te: 0.943 0.979 0.130
Te: 0.665 0.377 0.578
Te: 0.619 0.123 0.922
Te: 0.700 0.750 0.250
Te: 0.476 0.435 0.897
Te: 0.300 0.250 0.750
Te: 0.052 0.521 0.370
Te: 0.176 0.985 0.670
Te: 0.830 0.515 0.830
Te: 0.335 0.623 0.422
Te: 0.808 0.065 0.603
Te: 0.824 0.015 0.330
Te: 0.170 0.485 0.170
Te: 0.192 0.935 0.397
Te: 0.948 0.479 0.630
I: 0.332 0.210 0.521
I: 0.063 0.290 0.979
I: 0.395 0.114 0.221
I: 0.937 0.710 0.021
I: 0.668 0.790 0.479
I: 0.270 0.614 0.721
I: 0.605 0.886 0.779
I: 0.730 0.386 0.279
O: 0.754 0.250 0.750
O: 0.246 0.750 0.250

***

[3]
An optimized crystal structure of BeNi2P, computed with PBE.

Computed properties:
Energy above the lowest structure with this stoichiometry ... 0.81 eV/f.u.
Fermi-level density of states ... 3.4 states/eV per cell
Formation energy from the elements ... -0.156 eV/atom
SG ... R-3m (166)

abc: 7.279 7.279 7.279
angles: 20.71 20.71 20.71
Fractional positions:
Ni: 0.999 0.999 0.999
Ni: 0.501 0.501 0.501
Be: 0.750 0.750 0.750
P: 0.250 0.250 0.250

***

[4]
An optimized crystal structure of LiBe2W, computed with PBE.

Computed properties:
Energy above the lowest structure with this stoichiometry ... 0.27 eV/f.u.
Fermi-level density of states ... 2.3 states/eV per cell
Formation energy from the elements ... 0.242 eV/atom
SG ... P4/mmm (123)

abc: 3.686 3.685 3.281
angles: 90.00 90.00 90.00
Fractional positions:
Be: 0.000 0.000 0.000
Be: 0.500 0.500 0.000
Li: 0.500 0.000 0.500
W: 0.000 0.500 0.500

***

[5]
An optimized crystal structure of MgZrPtO6, computed with PBE.

Computed properties:
Raw formation energy ... -1.694 eV per atom
Fermi-level density of states ... 12.0 states/eV per cell
SG ... P-31c (163)

abc: 5.299 5.299 8.904
angles: 90.00 90.00 120.00
Fractional positions:
Mg: 0.000 0.000 0.000
Mg: 0.000 0.000 0.500
Zr: 0.333 0.667 0.250
Zr: 0.667 0.333 0.750
Pt: 0.667 0.333 0.250
Pt: 0.333 0.667 0.750
O: 0.666 0.648 0.127
O: 0.982 0.334 0.127
O: 0.334 0.982 0.627
O: 0.018 0.666 0.873
O: 0.352 0.334 0.373
O: 0.982 0.648 0.373
O: 0.648 0.982 0.873
O: 0.666 0.018 0.373
O: 0.018 0.352 0.627
O: 0.352 0.018 0.127
O: 0.648 0.666 0.627
O: 0.334 0.352 0.873

***

[6]
An optimized crystal structure of La2Dy6Cd, computed with PBE.

Computed properties:
Fermi-level density of states ... 25.4 states/eV per cell
Formation energy from the elements ... 0.017 eV/atom
SG ... Pnnm (58)

abc: 5.550 9.829 10.331
angles: 90.00 90.03 90.00
Fractional positions:
La: 0.000 0.312 0.750
La: 0.500 0.812 0.750
La: 0.500 0.188 0.250
La: 0.000 0.688 0.250
Dy: 0.000 0.015 0.180
Dy: 0.000 0.681 0.574
Dy: 0.000 0.640 0.897
Dy: 0.500 0.140 0.603
Dy: 0.500 0.181 0.926
Dy: 0.500 0.515 0.320
Dy: 0.000 0.985 0.820
Dy: 0.000 0.319 0.426
Dy: 0.000 0.360 0.103
Dy: 0.500 0.860 0.397
Dy: 0.500 0.819 0.074
Dy: 0.500 0.485 0.680
Cd: 0.500 0.500 0.000
Cd: 0.000 0.000 0.500

***

[7]
An optimized crystal structure of MnBe2CdSn, computed with PBE.

Computed properties:
Fermi-level density of states ... 2.9 states/eV per cell
Formation energy from the elements ... 1.186 eV/atom
SG ... P4/mmm (123)

abc: 4.464 5.848 4.464
angles: 90.00 90.00 90.00
Last column: magnetic moment on the atom in μB.
Fractional positions:
Be: 0.000 0.000 0.500  -0.03
Be: 0.500 0.000 0.000  -0.04
Mn: 0.500 0.500 0.500  4.24
Sn: 0.000 0.000 0.000  0.04
Cd: 0.000 0.500 0.000  -0.04

***

[8]
An optimized crystal structure of YBiRu3, computed with PBE.

Computed properties:
Energy above the lowest structure with this stoichiometry ... 2.58 eV/f.u.
Fermi-level density of states ... 7.3 states/eV per cell
Formation energy from the elements ... 1.701 eV/atom
SG ... Pm-3m (221)

abc: 4.886 4.886 4.886
angles: 90.00 90.00 90.00
Last column: magnetic moment on the atom in μB.
Fractional positions:
Y: 0.000 0.000 0.000  -0.09
Ru: 0.000 0.500 0.000  0.85
Ru: 0.000 0.000 0.500  0.77
Ru: 0.500 0.000 0.000  0.62
Bi: 0.500 0.500 0.500  -0.10

***

[9]
An optimized crystal structure of AcHo4Bi5, computed with PBE.

Computed properties:
Fermi-level density of states ... 2.0 states/eV per cell
Formation energy from the elements ... -0.848 eV/atom
SG ... C2/m (12)

abc: 4.549 7.866 10.177
angles: 75.10 77.09 73.19
Fractional positions:
Ac: 0.000 0.000 0.000
Ho: 0.594 0.207 0.604
Ho: 0.203 0.387 0.208
Ho: 0.797 0.613 0.792
Ho: 0.406 0.793 0.396
Bi: 0.205 0.905 0.685
Bi: 0.795 0.095 0.315
Bi: 0.389 0.328 0.894
Bi: 0.000 0.500 0.500
Bi: 0.611 0.672 0.106

***

[10]
An optimized crystal structure of RbPdC2O6, computed with PBE.

Computed properties:
Raw formation energy ... -1.173 eV per atom
Fermi-level density of states ... 6.5 states/eV per cell
SG ... R-3 (148)

abc: 4.951 4.951 7.259
angles: 70.06 70.06 60.00
Last column: magnetic moment on the atom in μB.
Fractional positions:
Rb: 0.000 0.000 0.000  0.00
Pd: 0.500 0.500 0.500  0.61
C: 0.775 0.775 0.674  0.01
C: 0.225 0.225 0.326  0.01
O: 0.046 0.524 0.682  0.06
O: 0.748 0.046 0.682  0.06
O: 0.476 0.252 0.318  0.06
O: 0.954 0.476 0.318  0.06
O: 0.252 0.954 0.318  0.06
O: 0.524 0.748 0.682  0.06

***

[11]
An optimized crystal structure of Cu3IrBr, computed with PBE.

Computed properties:
Energy above the lowest structure with this stoichiometry ... 1.90 eV/f.u.
Raw formation energy ... 1.380 eV per atom
Fermi-level density of states ... 5.0 states/eV per cell
SG ... Pm-3m (221)

abc: 4.478 4.478 4.478
angles: 90.00 90.00 90.00
Fractional positions:
Ir: 0.500 0.500 0.500
Cu: 0.000 0.500 0.000
Cu: 0.000 0.000 0.500
Cu: 0.500 0.000 0.000
Br: 0.000 0.000 0.000

***

[12]
An optimized crystal structure of YTc2RuC, computed with PBE.

Computed properties:
Fermi-level density of states ... 5.8 states/eV per cell
Formation energy from the elements ... -0.010 eV/atom
SG ... P4/mmm (123)

abc: 4.191 4.191 4.242
angles: 90.00 90.00 90.00
Last column: magnetic moment on the atom in μB.
Fractional positions:
Y: 0.500 0.500 0.500  0.05
Ru: 0.000 0.000 0.500  0.17
C: 0.000 0.000 0.000  -0.02
Tc: 0.000 0.500 0.000  0.50
Tc: 0.500 0.000 0.000  0.50